# TlSi2Cl2 (PBE-GGA, relaxed)
data_TlSi2Cl2
_symmetry_space_group_name_H-M 'P 4/m b m'
_symmetry_Int_Tables_number 127
_symmetry_space_group_name_Hall '-P 4 2ab'
_cell_length_a 7.1675
_cell_length_b 7.1675
_cell_length_c 4.5109
_cell_angle_alpha 90.00
_cell_angle_beta 90.00
_cell_angle_gamma 90.00
loop_
_atom_site_label
_atom_site_fract_x
_atom_site_fract_y
_atom_site_fract_z
Tl1 0.0000 0.0000 0.0000
Si1 0.1170 0.3830 0.0000
Cl1 0.1584 0.6584 0.5000
# - E above lowest polymorph: 0.0 meV/atom
# - E: -3.243 eV per atom